Record 1
# Li2PrP2Pd2 PBE relaxed
# Volume ... 351 Å³ per cell
data_Li2PrP2Pd2
_symmetry_space_group_name_H-M 'R -3 m'
_symmetry_Int_Tables_number 166
_symmetry_space_group_name_Hall '-R 3 2"'
_cell_length_a 4.1665
_cell_length_b 4.1665
_cell_length_c 23.3299
_cell_angle_alpha 90.00
_cell_angle_beta 90.00
_cell_angle_gamma 120.00
loop_
_atom_site_label
_atom_site_fract_x
_atom_site_fract_y
_atom_site_fract_z
Li1 0.0000 0.0000 0.1421
Pr1 0.0000 0.0000 0.0000
P1 0.0000 0.0000 0.2507
Pd1 0.0000 0.0000 0.4276

Record 2
# Mg2TaSe PBE relaxed
# Volume ... 307 Å³ per cell
data_Mg2TaSe
_symmetry_space_group_name_H-M 'F -4 3 m'
_symmetry_Int_Tables_number 216
_symmetry_space_group_name_Hall 'F -4 2 3'
_cell_length_a 6.7476
_cell_length_b 6.7476
_cell_length_c 6.7476
_cell_angle_alpha 90.00
_cell_angle_beta 90.00
_cell_angle_gamma 90.00
loop_
_atom_site_label
_atom_site_fract_x
_atom_site_fract_y
_atom_site_fract_z
Mg1 0.0000 0.0000 0.0000
Mg2 0.2500 0.2500 0.2500
Ta1 0.0000 0.0000 0.5000
Se1 0.2500 0.2500 0.7500

Values of total DFT energy (no corrections), in order: -5.21 -4.24, all in eV/atom.